Density functional theory data (PBE) for AsIBr2O after structural relaxation.

- Energy: -8.718 eV/cell
- Formation energy (no corrections): 1.157 eV/atom
- Energy relative to the lowest polymorph listed for this composition: 581 meV/atom

abc: 5.742 5.742 5.686
angles: 90.00 90.00 90.00
Space group P4/mmm (No. 123)
Unique sites:
As: 0.000 0.000 0.000
I: 0.000 0.000 0.500
Br: 0.000 0.500 0.500
O: 0.500 0.500 0.000